1.
Density functional theory data (PBE) for YCd2O after structural relaxation.

```
data_YCd2O
_cell_length_a 9.288
_cell_length_b 9.288
_cell_length_c 4.378
_cell_angle_alpha 90.00
_cell_angle_beta 90.00
_cell_angle_gamma 90.00
_symmetry_space_group_name_H-M 'I -4 2 d'
_symmetry_Int_Tables_number 122
_symmetry_space_group_name_Hall 'I -4 2bw'
loop_
_atom_site_label
_atom_site_type_symbol
_atom_site_fract_x
_atom_site_fract_y
_atom_site_fract_z
Y1 Y 0.000 0.000 0.000
Cd1 Cd 0.157 0.750 0.625
O1 O 0.000 0.000 0.500
```

Properties
The value obtained for the electronic total energy is -4.1787 eV/atom. As for the uncorrected formation energy: -0.866 eV per atom.

***

2.
Density functional theory data (PBE) for Mn2Pt2Cl after structural relaxation.

```
data_Mn2Pt2Cl
_cell_length_a 3.793
_cell_length_b 3.793
_cell_length_c 14.043
_cell_angle_alpha 90.00
_cell_angle_beta 90.00
_cell_angle_gamma 90.00
_symmetry_space_group_name_H-M 'I 4/m m m'
_symmetry_Int_Tables_number 139
_symmetry_space_group_name_Hall '-I 4 2'
loop_
_atom_site_label
_atom_site_type_symbol
_atom_site_fract_x
_atom_site_fract_y
_atom_site_fract_z
Mn1 Mn 0.000 0.000 0.122
Pt1 Pt 0.000 0.500 0.250
Cl1 Cl 0.000 0.000 0.500
```

Properties
The value obtained for the electronic total energy is -6.4795 eV/atom. The energy above the most stable polymorph in this dataset comes out at 43.5 meV/atom. As for the uncorrected formation energy: -0.026 eV per atom.

***

3.
Density functional theory data (PBE) for Li2HgAu5 after structural relaxation.

```
data_Li2HgAu5
_cell_length_a 5.850
_cell_length_b 11.777
_cell_length_c 4.054
_cell_angle_alpha 90.00
_cell_angle_beta 90.00
_cell_angle_gamma 90.00
_symmetry_space_group_name_H-M 'P b a m'
_symmetry_Int_Tables_number 55
loop_
_symmetry_equiv_pos_as_xyz
'x,y,z'
'-x,-y,-z'
'-x,-y,z'
'x,y,-z'
'x+1/2,-y+1/2,-z'
'-x+1/2,y+1/2,z'
'-x+1/2,y+1/2,-z'
'x+1/2,-y+1/2,z'
loop_
_atom_site_label
_atom_site_type_symbol
_atom_site_fract_x
_atom_site_fract_y
_atom_site_fract_z
Li1 Li 0.242 0.130 0.000
Hg1 Hg 0.000 0.500 0.500
Au1 Au 0.000 0.000 0.500
Au2 Au 0.009 0.250 0.500
Au3 Au 0.240 0.873 0.000
```

Properties
The value obtained for the electronic total energy is -2.8787 eV/atom. The formation enthalpy at 0 K is -242 kJ/mol of formula units.